Computed, not measured: a relaxed structure of RbBa4Sr at the GGA-PBE level of DFT.

Calculated values
DFT formation energy in meV per atom: 166
Calculated density in Mg/m³: 2.9
DFT total energy in eV per atom: -1.56

Unit cell a=8.3948 b=8.3948 c=8.3948 alpha=60.00 beta=60.00 gamma=60.00
With the nearest neighbours (Å) after each atom.
Sites, in units of the cell vectors:
Rb 0.0000 0.0000 0.0000  12 Ba 4.92, 4 Sr 5.14
Ba 0.1268 0.6244 0.6244  6 Ba 4.18-4.22
Ba 0.6244 0.1268 0.6244  6 Ba 4.18-4.22
Ba 0.6244 0.6244 0.1268  6 Ba 4.18-4.22
Ba 0.6244 0.6244 0.6244  6 Ba 4.18-4.22
Sr 0.2500 0.2500 0.2500  12 Ba 4.92, 4 Rb 5.14